[1]
The following is a GGA-PBE calculation of an optimized crystal structure of Er4Tm3PaAs8, from the Alexandria database.

a b c (Å): 8.1443 8.1443 8.1443
angles (deg): 59.98 59.98 59.98
With the nearest neighbours (Å) after each atom.
Element x y z (fractional)
Er  0.0000  0.0000  0.0000  6 As 2.89
Er  0.0000  0.5000  0.5000  6 As 2.88
Er  0.5000  0.0000  0.5000  6 As 2.88
Er  0.5000  0.5000  0.0000  6 As 2.88
Tm  0.0000  0.0000  0.5000  6 As 2.87
Tm  0.0000  0.5000  0.0000  6 As 2.87
Tm  0.5000  0.0000  0.0000  6 As 2.87
Pa  0.5000  0.5000  0.5000  6 As 2.87
As  0.2496  0.2496  0.2496  3 Tm 2.87, 3 Er 2.88
As  0.2503  0.7489  0.7489  1 Pa 2.87, 2 Tm 2.87, 3 Er 2.88-2.89
As  0.2511  0.2511  0.7497  1 Pa 2.87, 2 Tm 2.87, 3 Er 2.88-2.89
As  0.2511  0.7497  0.2511  1 Pa 2.87, 2 Tm 2.87, 3 Er 2.88-2.89
As  0.7489  0.2503  0.7489  1 Pa 2.87, 2 Tm 2.87, 3 Er 2.88-2.89
As  0.7489  0.7489  0.2503  1 Pa 2.87, 2 Tm 2.87, 3 Er 2.88-2.89
As  0.7497  0.2511  0.2511  1 Pa 2.87, 2 Tm 2.87, 3 Er 2.88-2.89
As  0.7504  0.7504  0.7504  3 Tm 2.87, 3 Er 2.88

Results
mass density = 8.73 g/cm3
uncorrected energy = -6.359 eV per atom
N(E_F) = 5.1 states/eV/cell
energy of formation = -1.462 eV/atom


[2]
The following is a GGA-PBE calculation of an optimized crystal structure of Er2TmPaAs4, from the Alexandria database.

a b c (Å): 7.0493 4.0841 7.0539
angles (deg): 90.00 109.50 90.00
With the nearest neighbours (Å) after each atom.
Element x y z (fractional)
Er  0.0000  0.0000  0.0000  6 As 2.88-2.89
Er  0.5000  0.5000  0.0000  6 As 2.88-2.89
Tm  0.0000  0.5000  0.5000  6 As 2.87-2.88
Pa  0.5000  0.0000  0.5000  6 As 2.87-2.88
As  0.2492  0.5000  0.2501  1 Tm 2.87, 3 Er 2.88, 2 Pa 2.88
As  0.2503  0.0000  0.7479  1 Pa 2.87, 2 Tm 2.88, 3 Er 2.89
As  0.7497  0.0000  0.2521  1 Pa 2.87, 2 Tm 2.88, 3 Er 2.89
As  0.7508  0.5000  0.7499  1 Tm 2.87, 3 Er 2.88, 2 Pa 2.88

Results
mass density = 8.97 g/cm3
uncorrected energy = -6.608 eV per atom
N(E_F) = 5.3 states/eV/cell
energy of formation = -1.397 eV/atom


[3]
The following is a GGA-PBE calculation of an optimized crystal structure of YEr2PaAs4, from the Alexandria database.

a b c (Å): 7.0730 4.0985 7.0820
angles (deg): 90.00 109.48 90.00
With the nearest neighbours (Å) after each atom.
Element x y z (fractional)
Y  0.0000  0.0000  0.0000  6 As 2.90-2.91
Er  0.5000  0.0000  0.5000  6 As 2.88
Er  0.5000  0.5000  0.0000  6 As 2.89-2.91
Pa  0.0000  0.5000  0.5000  6 As 2.87-2.89
As  0.2511  0.0000  0.7489  3 Er 2.88-2.89, 2 Pa 2.89, 1 Y 2.90
As  0.2506  0.5000  0.2536  1 Pa 2.87, 3 Er 2.88-2.91, 2 Y 2.91
As  0.7489  0.0000  0.2511  3 Er 2.88-2.89, 2 Pa 2.89, 1 Y 2.90
As  0.7494  0.5000  0.7464  1 Pa 2.87, 3 Er 2.88-2.91, 2 Y 2.91

Results
mass density = 8.19 g/cm3
uncorrected energy = -6.872 eV per atom
N(E_F) = 5.4 states/eV/cell
energy of formation = -1.411 eV/atom


[4]
The following is a GGA-PBE calculation of an optimized crystal structure of ErZr2PaAs4, from the Alexandria database.

a b c (Å): 6.8603 3.9922 6.8872
angles (deg): 90.00 109.61 90.00
With the nearest neighbours (Å) after each atom.
Element x y z (fractional)
Er  0.0000  0.0000  0.0000  6 As 2.84-2.85
Zr  0.5000  0.0000  0.5000  6 As 2.77-2.78
Zr  0.5000  0.5000  0.0000  6 As 2.76-2.77
Pa  0.0000  0.5000  0.5000  6 As 2.85-2.86
As  0.2600  0.5000  0.2533  3 Zr 2.77-2.78, 1 Pa 2.85, 2 Er 2.85
As  0.2618  0.0000  0.7554  3 Zr 2.76-2.77, 1 Er 2.84, 2 Pa 2.86
As  0.7382  0.0000  0.2446  3 Zr 2.76-2.77, 1 Er 2.84, 2 Pa 2.86
As  0.7400  0.5000  0.7467  3 Zr 2.77-2.78, 1 Pa 2.85, 2 Er 2.85

Results
mass density = 8.23 g/cm3
uncorrected energy = -7.429 eV per atom
N(E_F) = 5.5 states/eV/cell
energy of formation = -1.210 eV/atom


Repeat the second record exactly.
The following is a GGA-PBE calculation of an optimized crystal structure of Er2TmPaAs4, from the Alexandria database.

a b c (Å): 7.0493 4.0841 7.0539
angles (deg): 90.00 109.50 90.00
With the nearest neighbours (Å) after each atom.
Element x y z (fractional)
Er  0.0000  0.0000  0.0000  6 As 2.88-2.89
Er  0.5000  0.5000  0.0000  6 As 2.88-2.89
Tm  0.0000  0.5000  0.5000  6 As 2.87-2.88
Pa  0.5000  0.0000  0.5000  6 As 2.87-2.88
As  0.2492  0.5000  0.2501  1 Tm 2.87, 3 Er 2.88, 2 Pa 2.88
As  0.2503  0.0000  0.7479  1 Pa 2.87, 2 Tm 2.88, 3 Er 2.89
As  0.7497  0.0000  0.2521  1 Pa 2.87, 2 Tm 2.88, 3 Er 2.89
As  0.7508  0.5000  0.7499  1 Tm 2.87, 3 Er 2.88, 2 Pa 2.88

Results
mass density = 8.97 g/cm3
uncorrected energy = -6.608 eV per atom
N(E_F) = 5.3 states/eV/cell
energy of formation = -1.397 eV/atom